MgPt2Au, optimized geometry, DFT PBEsol; DOS at the Fermi energy = 1.7 states/eV/cell; energy of formation = -1.75 eV/f.u.
1.0
4.755 0.000 0.000
0.000 2.895 0.000
-1.481 0.000 4.540
Mg Pt Au
1 2 1
direct
0.000 0.000 0.000
0.500 0.000 0.500
0.500 0.500 0.000
0.000 0.500 0.500

=====

Sb2TeRuPt, optimized geometry, DFT PBEsol; E_form (uncorrected) = 1.15 eV per atom; DOS at the Fermi energy = 6.3 states/eV/cell
1.0
5.053 0.000 0.000
0.000 5.053 0.000
0.000 0.000 5.244
Sb Te Ru Pt
2 1 1 1
direct
0.000 0.500 0.000
0.500 0.000 0.000
0.000 0.000 0.500
0.500 0.500 0.500
0.000 0.000 0.000

=====

MnZn2Co, optimized geometry, DFT PBEsol; DOS at the Fermi energy = 3.1 states/eV/cell; energy of formation = 0.15 eV/f.u.
1.0
2.598 0.000 0.000
0.000 3.628 0.000
0.000 0.000 5.160
Mn Zn Co
1 2 1
direct
0.000 0.000 0.000
0.500 0.500 0.258
0.500 0.500 0.742
0.000 0.000 0.500

=====

LaFePt2, optimized geometry, DFT PBEsol; DOS at the Fermi energy = 3.0 states/eV/cell; energy of formation = -2.31 eV/f.u.
1.0
2.152 1.242 4.968
-2.152 1.242 4.968
0.000 -2.485 4.968
La Fe Pt
1 1 2
direct
0.000 0.000 0.000
0.500 0.500 0.500
0.206 0.206 0.206
0.794 0.794 0.794

=====

RbTlS2, optimized geometry, DFT PBEsol; E_form (uncorrected) = -0.13 eV per atom; DOS at the Fermi energy = 5.7 states/eV/cell
1.0
0.000 3.625 3.625
3.625 0.000 3.625
3.625 3.625 0.000
Rb Tl S
1 1 2
direct
0.000 0.000 0.000
0.500 0.500 0.500
0.250 0.250 0.250
0.750 0.750 0.750

=====

LiFePO4, optimized geometry, DFT PBEsol; E_form (uncorrected) = -1.84 eV per atom
1.0
7.099 0.000 0.000
0.000 7.099 0.000
0.000 0.000 7.099
Li Fe P O
4 4 4 16
direct
0.193 0.307 0.693
0.307 0.693 0.193
0.693 0.193 0.307
0.807 0.807 0.807
0.245 0.245 0.245
0.255 0.755 0.745
0.745 0.255 0.755
0.755 0.745 0.255
0.037 0.963 0.463
0.463 0.037 0.963
0.537 0.537 0.537
0.963 0.463 0.037
0.035 0.892 0.673
0.108 0.173 0.465
0.159 0.841 0.341
0.173 0.465 0.108
0.327 0.535 0.608
0.341 0.159 0.841
0.392 0.827 0.965
0.465 0.108 0.173
0.535 0.608 0.327
0.608 0.327 0.535
0.659 0.659 0.659
0.673 0.035 0.892
0.827 0.965 0.392
0.841 0.341 0.159
0.892 0.673 0.035
0.965 0.392 0.827